CaAl2V2 | Alexandria via LeMat-Bulk | PBE | optimized geometry; E above lowest polymorph = 0 meV/atom; E_form = -0.0237 eV per atom; symmetry = P4/mbm; total DFT energy (no corrections) = -5.568 eV/atom
1.0
7.966 0.000 0.000
0.000 7.966 0.000
0.000 0.000 2.745
Ca Al V
2 4 4
direct
0.000 0.000 0.000
0.500 0.500 0.000
0.182 0.318 0.500
0.318 0.818 0.500
0.682 0.182 0.500
0.818 0.682 0.500
0.106 0.606 0.000
0.394 0.106 0.000
0.606 0.894 0.000
0.894 0.394 0.000